The following is a GGA+U calculation of an optimized crystal structure of ScTaCr2O, from the Alexandria database.

Results
The magnetization is 9.06 μB/f.u. As for the total DFT energy (no corrections): -36.8 eV/cell.

Unit cell a=5.439 b=5.439 c=3.817 alpha=90.00 beta=90.00 gamma=90.00
Site moments in Bohr magnetons follow the coordinates.
Element x y z (fractional)
Sc (0.500, 0.500, 0.500)  0.30
Cr (0.500, 0.000, 0.000)  4.11
O (0.000, 0.000, 0.500)  0.12
Cr (0.000, 0.500, 0.000)  4.11
Ta (0.000, 0.000, 0.000)  -0.61